VASP calculation (PBE+U) on BaNdMnSnO6 after structural relaxation.

Cell: 5.755 5.755 5.755 Å, 60.00 60.00 60.00°
Atoms (fractional coordinates):
Ba  0.000  0.000  0.000
Nd  0.500  0.500  0.500
Mn  0.250  0.250  0.250
Sn  0.750  0.750  0.750
O  0.003  0.003  0.497
O  0.003  0.497  0.003
O  0.003  0.497  0.497
O  0.497  0.003  0.003
O  0.497  0.003  0.497
O  0.497  0.497  0.003

Summary:
As for the total energy: -6.98 eV per atom. The value obtained for the density of states at the Fermi level is 1.64 states/eV per cell. As for the symmetry: F-43m.